No. 1
NaZr3O | GGA-PBE | relaxed

Cell lengths 4.570, 4.570, 4.570 Å; angles 90.00, 90.00, 90.00 degrees
Space group Pm-3m (No. 221)
Symmetry-distinct sites (fractional):
Na: 0.000 0.000 0.000 x1
Zr: 0.000 0.500 0.500 x3
O: 0.500 0.500 0.500 x1

* energy above the most stable polymorph in this dataset: 0.00 eV per formula unit
* uncorrected formation energy: -0.657 eV/atom

***

No. 2
NaOs4 | GGA-PBE | relaxed

Cell lengths 4.320, 4.320, 4.320 Å; angles 90.00, 90.00, 90.00 degrees
Space group Pm-3m (No. 221)
Symmetry-distinct sites (fractional):
Na: 0.000 0.000 0.000 x1
Os: 0.000 0.000 0.500 x3
Os: 0.500 0.500 0.500 x1

* E_form: 3.1067 eV/atom